# 1
VASP calculation (PBE+U) on a geometry-optimized Li2CoP2O7 structure.

The value obtained for the energy above the lowest structure with this stoichiometry is 2.2 meV per atom. The calculation puts the total energy at -159.90 eV/cell. As for the crystal system: triclinic.

The structure in POSCAR format:
```
Li2CoP2O7
1.0
5.187 -0.054 -0.028
-1.078 7.192 0.002
-0.598 3.315 7.521
Li Co P O
4 2 4 14
Cartesian
3.174 2.753 3.329
0.336 7.701 4.166
-0.021 9.519 7.484
3.532 0.934 0.010
3.283 6.092 2.030
0.227 4.362 5.464
2.816 6.197 5.199
0.695 4.256 2.295
2.548 8.894 6.202
0.963 1.559 1.293
0.022 5.486 1.661
3.488 4.967 5.832
3.600 6.734 3.994
-0.090 3.720 3.500
4.781 0.841 1.461
-1.270 9.612 6.033
1.314 6.001 4.916
2.197 4.453 2.578
1.585 9.068 5.046
1.926 1.385 2.448
0.614 3.138 1.111
2.897 7.315 6.383
1.003 4.439 7.468
2.508 6.014 0.026
```


# 2
VASP calculation (PBE+U) on a geometry-optimized LiCo2P2O8 structure.

The value obtained for the energy above the lowest structure with this stoichiometry is 8.6 meV per atom. The calculation puts the total energy at -173.13 eV/cell. As for the crystal system: monoclinic.

The structure in POSCAR format:
```
LiCo2P2O8
1.0
-6.687 0.615 1.949
-1.420 -2.869 -3.966
0.762 -8.527 5.306
Li Co P O
2 4 4 16
Cartesian
-1.599 -5.909 2.719
-5.286 -1.341 1.030
-1.980 -9.098 1.854
-4.892 -6.031 4.113
-5.967 -4.503 0.252
-1.833 -2.083 0.458
-2.832 -8.178 4.744
-7.164 -6.630 2.101
-3.566 -3.882 2.194
-1.122 -2.957 -2.423
-0.598 -10.339 1.840
-3.541 -10.062 1.764
-4.312 -7.818 4.642
-2.060 -7.992 3.378
-6.126 -7.642 1.642
-1.895 -7.941 0.325
-6.802 -6.019 3.481
-3.603 -5.317 2.758
-7.330 -5.492 1.038
-4.883 -5.710 -0.608
-2.332 -3.771 1.301
-4.902 -3.503 1.442
-2.398 -3.756 -2.208
-6.658 -3.275 -1.051
-0.584 -2.362 -1.095
-3.504 -1.097 -0.035
```